## w
The following is a PBE-GGA calculation of an optimized crystal structure of Pa2Sn2Se7, from the Alexandria database.

Its magnetic moment is 0.015 μB/atom. As for the crystal system: orthorhombic.

The structure belongs to space group Imm2 (No. 44); the cell edges are 4.196, 15.723 and 8.932 Å and the angles 90.00°, 90.00° and 90.00°. The inequivalent atoms are Pa at (0.000, 0.000, 0.000), Pa at (0.000, 0.500, 0.048), Sn at (0.000, 0.255, 0.305), Se at (0.000, 0.000, 0.329), Se at (0.000, 0.098, 0.724), Se at (0.000, 0.325, 0.958) and Se at (0.000, 0.382, 0.544).

=====

## x
The following is a PBE-GGA calculation of an optimized crystal structure of Pa2Sn2Se7, from the Alexandria database.

Its magnetic moment is 0.011 μB/atom. As for the crystal system: orthorhombic.

The structure belongs to space group Imm2 (No. 44); the cell edges are 4.018, 15.291 and 9.226 Å and the angles 90.00°, 90.00° and 90.00°. The inequivalent atoms are Pa at (0.000, 0.241, 0.000), Sn at (0.000, 0.000, 0.759), Sn at (0.000, 0.500, 0.764), Se at (0.000, 0.000, 0.058), Se at (0.000, 0.129, 0.488), Se at (0.000, 0.318, 0.698) and Se at (0.000, 0.348, 0.310).

=====

Most stable structure - x; separation to the second - 32 meV/atom.

=====

## w
The following is a PBE-GGA calculation of an optimized crystal structure of Sr2PaSe4, from the Alexandria database.

Its magnetic moment is 0.142 μB/atom. As for the crystal system: monoclinic.

The structure belongs to space group C2/m (No. 12); the cell edges are 15.407, 4.167 and 7.382 Å and the angles 90.00°, 114.87° and 90.00°. The inequivalent atoms are Sr at (0.147, 0.000, 0.111), Pa at (0.000, 0.000, 0.500), Se at (0.017, 0.500, 0.244) and Se at (0.196, 0.000, 0.728).

=====

## x
The following is a PBE-GGA calculation of an optimized crystal structure of Sr2PaSe4, from the Alexandria database.

Its magnetic moment is 0.143 μB/atom. As for the crystal system: orthorhombic.

The structure belongs to space group Pbam (No. 55); the cell edges are 7.740, 12.786 and 4.394 Å and the angles 90.00°, 90.00° and 90.00°. The inequivalent atoms are Sr at (0.090, 0.184, 0.000), Pa at (0.000, 0.500, 0.500), Se at (0.130, 0.707, 0.500) and Se at (0.235, 0.453, 0.000).

=====

Most stable structure - x; separation to the second - 94 meV/atom.

=====

## w
The following is a PBE-GGA calculation of an optimized crystal structure of Tb2PaSe5, from the Alexandria database.

Its magnetic moment is 0.041 μB/atom. As for the crystal system: orthorhombic.

The structure belongs to space group Fmmm (No. 69); the cell edges are 5.605, 9.593 and 15.305 Å and the angles 90.00°, 90.00° and 90.00°. The inequivalent atoms are Tb at (0.000, 0.000, 0.181), Pa at (0.000, 0.000, 0.500), Se at (0.000, 0.000, 0.000) and Se at (0.000, 0.165, 0.346).

=====

## x
The following is a PBE-GGA calculation of an optimized crystal structure of Tb2PaSe5, from the Alexandria database.

Its magnetic moment is 0.128 μB/atom. As for the crystal system: orthorhombic.

The structure belongs to space group Cmcm (No. 63); the cell edges are 5.630, 13.678 and 13.821 Å and the angles 90.00°, 90.00° and 90.00°. The inequivalent atoms are Tb at (0.000, 0.147, 0.055), Pa at (0.000, 0.203, 0.750), Se at (0.000, 0.047, 0.622), Se at (0.000, 0.246, 0.250) and Se at (0.000, 0.319, 0.573).

=====

Most stable structure - x; separation to the second - 199 meV/atom.

=====

## w
The following is a PBE-GGA calculation of an optimized crystal structure of Tb3PaSe6, from the Alexandria database.

Its magnetic moment is 0.203 μB/atom. As for the crystal system: orthorhombic.

The structure belongs to space group Cmc2_1 (No. 36); the cell edges are 11.206, 13.887 and 7.129 Å and the angles 90.00°, 90.00° and 90.00°. The inequivalent atoms are Tb at (0.000, 0.094, 0.000), Tb at (0.189, 0.398, 0.895), Pa at (0.000, 0.335, 0.382), Se at (0.000, 0.270, 0.755), Se at (0.000, 0.492, 0.121), Se at (0.164, 0.035, 0.703) and Se at (0.169, 0.232, 0.172).

=====

## x
The following is a PBE-GGA calculation of an optimized crystal structure of Tb3PaSe6, from the Alexandria database.

Its magnetic moment is 0.149 μB/atom. As for the crystal system: monoclinic.

The structure belongs to space group P2_1/m (No. 11); the cell edges are 11.573, 4.076 and 11.870 Å and the angles 90.00°, 108.16° and 90.00°. The inequivalent atoms are Tb at (0.074, 0.250, 0.165), Tb at (0.179, 0.750, 0.501), Tb at (0.342, 0.250, 0.921), Pa at (0.455, 0.250, 0.304), Se at (0.018, 0.250, 0.382), Se at (0.102, 0.250, 0.932), Se at (0.250, 0.750, 0.279), Se at (0.309, 0.750, 0.749), Se at (0.388, 0.250, 0.536) and Se at (0.417, 0.750, 0.101).

=====

Most stable structure - x; separation to the second - 126 meV/atom.

=====

## w
The following is a PBE-GGA calculation of an optimized crystal structure of TbPaSe2, from the Alexandria database.

Its magnetic moment is 0.099 μB/atom. As for the crystal system: trigonal.

The structure belongs to space group P-3m1 (No. 164); the cell edges are 4.0242, 4.0242 and 20.5359 Å and the angles 90.00°, 90.00° and 120.00°. The inequivalent atoms are Tb at (0.0000, 0.0000, 0.0000), Tb at (0.3333, 0.6667, 0.1683), Pa at (0.0000, 0.0000, 0.5000), Pa at (0.3333, 0.6667, 0.6644), Se at (0.0000, 0.0000, 0.2501), Se at (0.3333, 0.6667, 0.4179) and Se at (0.3333, 0.6667, 0.9165).

=====

## x
The following is a PBE-GGA calculation of an optimized crystal structure of TbPaSe2, from the Alexandria database.

Its magnetic moment is 0.324 μB/atom. As for the crystal system: tetragonal.

The structure belongs to space group P4/mmm (No. 123); the cell edges are 5.005, 5.005 and 3.558 Å and the angles 90.00°, 90.00° and 90.00°. The inequivalent atoms are Tb at (0.000, 0.000, 0.000), Pa at (0.500, 0.500, 0.000) and Se at (0.000, 0.500, 0.500).

=====

## y
The following is a PBE-GGA calculation of an optimized crystal structure of TbPaSe2, from the Alexandria database.

Its magnetic moment is 0.008 μB/atom. As for the crystal system: trigonal.

The structure belongs to space group R3m (No. 160, hexagonal axes); the cell edges are 3.7989, 3.7989 and 23.0536 Å and the angles 90.00°, 90.00° and 120.00°. The inequivalent atoms are Tb at (0.0000, 0.0000, 0.0000), Pa at (0.0000, 0.0000, 0.1705), Se at (0.0000, 0.0000, 0.5867) and Se at (0.0000, 0.0000, 0.7509).

=====

Most stable structure - w; separation to the second - 80 meV/atom.

=====

## w
The following is a PBE-GGA calculation of an optimized crystal structure of TbPaSe2, from the Alexandria database.

Its magnetic moment is 0.520 μB/atom. As for the crystal system: trigonal.

The structure belongs to space group R-3m (No. 166, hexagonal axes); the cell edges are 3.9284, 3.9284 and 27.2138 Å and the angles 90.00°, 90.00° and 120.00°. The inequivalent atoms are Tb at (0.0000, 0.0000, 0.0000), Pa at (0.0000, 0.0000, 0.5000) and Se at (0.0000, 0.0000, 0.3962).

=====

## x
The following is a PBE-GGA calculation of an optimized crystal structure of TbPaSe2, from the Alexandria database.

Its magnetic moment is 0.246 μB/atom. As for the crystal system: orthorhombic.

The structure belongs to space group Pmma (No. 51); the cell edges are 7.864, 3.749 and 6.607 Å and the angles 90.00°, 90.00° and 90.00°. The inequivalent atoms are Tb at (0.000, 0.000, 0.000), Pa at (0.000, 0.500, 0.500), Se at (0.250, 0.000, 0.332) and Se at (0.250, 0.500, 0.831).

=====

Most stable structure - x; separation to the second - 415 meV/atom.

=====

## w
The following is a PBE-GGA calculation of an optimized crystal structure of PaTcSe, from the Alexandria database.

Its magnetic moment is 0.000 μB/atom. As for the crystal system: tetragonal.

The structure belongs to space group I4/mmm (No. 139); the cell edges are 3.852, 3.852 and 17.177 Å and the angles 90.00°, 90.00° and 90.00°. The inequivalent atoms are Pa at (0.000, 0.000, 0.122), Tc at (0.000, 0.500, 0.000) and Se at (0.000, 0.000, 0.310).

=====

## x
The following is a PBE-GGA calculation of an optimized crystal structure of PaTcSe, from the Alexandria database.

Its magnetic moment is 0.000 μB/atom. As for the crystal system: tetragonal.

The structure belongs to space group I4mm (No. 107); the cell edges are 3.717, 3.717 and 9.467 Å and the angles 90.00°, 90.00° and 90.00°. The inequivalent atoms are Pa at (0.000, 0.000, 0.000), Tc at (0.000, 0.000, 0.583) and Se at (0.000, 0.000, 0.313).

=====

Most stable structure - w; separation to the second - 309 meV/atom.

=====

## w
The following is a PBE-GGA calculation of an optimized crystal structure of PaTeSe, from the Alexandria database.

Its magnetic moment is 0.305 μB/atom. As for the crystal system: hexagonal.

The structure belongs to space group P-6m2 (No. 187); the cell edges are 4.8301, 4.8301 and 4.0379 Å and the angles 90.00°, 90.00° and 120.00°. The inequivalent atoms are Pa at (0.0000, 0.0000, 0.0000), Te at (0.6667, 0.3333, 0.5000) and Se at (0.3333, 0.6667, 0.0000).

=====

## x
The following is a PBE-GGA calculation of an optimized crystal structure of PaTeSe, from the Alexandria database.

Its magnetic moment is 0.316 μB/atom. As for the crystal system: orthorhombic.

The structure belongs to space group Pmmn (No. 59, origin choice 2); the cell edges are 4.441, 4.511 and 8.088 Å and the angles 90.00°, 90.00° and 90.00°. The inequivalent atoms are Pa at (0.250, 0.250, 0.231), Te at (0.250, 0.250, 0.630) and Se at (0.250, 0.750, 0.003).

=====

## y
The following is a PBE-GGA calculation of an optimized crystal structure of PaTeSe, from the Alexandria database.

Its magnetic moment is 0.335 μB/atom. As for the crystal system: cubic.

The structure belongs to space group F-43m (No. 216); the cell edges are 7.152, 7.152 and 7.152 Å and the angles 90.00°, 90.00° and 90.00°. The inequivalent atoms are Pa at (0.000, 0.000, 0.000), Te at (0.250, 0.250, 0.750) and Se at (0.250, 0.250, 0.250).

=====

Most stable structure - x; separation to the second - 121 meV/atom.

=====

## w
The following is a PBE-GGA calculation of an optimized crystal structure of PaTeSe, from the Alexandria database.

Its magnetic moment is 0.176 μB/atom. As for the crystal system: tetragonal.

The structure belongs to space group I4mm (No. 107); the cell edges are 3.842, 3.842 and 10.043 Å and the angles 90.00°, 90.00° and 90.00°. The inequivalent atoms are Pa at (0.000, 0.000, 0.000), Te at (0.000, 0.000, 0.669) and Se at (0.000, 0.000, 0.363).

=====

## x
The following is a PBE-GGA calculation of an optimized crystal structure of PaTeSe, from the Alexandria database.

Its magnetic moment is 0.000 μB/atom. As for the crystal system: monoclinic.

The structure belongs to space group C2/m (No. 12); the cell edges are 15.172, 3.983 and 7.118 Å and the angles 90.00°, 100.39° and 90.00°. The inequivalent atoms are Pa at (0.002, 0.000, 0.306), Te at (0.136, 0.000, 0.050) and Se at (0.113, 0.500, 0.548).

=====

Most stable structure - w; separation to the second - 304 meV/atom.

=====

## w
The following is a PBE-GGA calculation of an optimized crystal structure of ThPaSe3, from the Alexandria database.

Its magnetic moment is 0.327 μB/atom. As for the crystal system: orthorhombic.

The structure belongs to space group Pnma (No. 62); the cell edges are 7.766, 4.096 and 16.032 Å and the angles 90.00°, 90.00° and 90.00°. The inequivalent atoms are Th at (0.096, 0.250, 0.203), Pa at (0.232, 0.750, 0.460), Se at (0.002, 0.750, 0.607), Se at (0.118, 0.750, 0.068) and Se at (0.179, 0.250, 0.779).

=====

## x
The following is a PBE-GGA calculation of an optimized crystal structure of ThPaSe3, from the Alexandria database.

Its magnetic moment is 0.218 μB/atom. As for the crystal system: monoclinic.

The structure belongs to space group P2_1/m (No. 11); the cell edges are 8.190, 3.998 and 8.291 Å and the angles 90.00°, 97.34° and 90.00°. The inequivalent atoms are Th at (0.126, 0.250, 0.267), Pa at (0.370, 0.750, 0.858), Se at (0.119, 0.250, 0.889), Se at (0.182, 0.750, 0.540) and Se at (0.395, 0.750, 0.215).

=====

Most stable structure - w; separation to the second - 35 meV/atom.